(1)
A plane-wave DFT calculation with SCAN was carried out for Ca2CdAs2 at its PBEsol-relaxed geometry.

Unit cell a=4.276 b=10.810 c=14.217 alpha=109.52 beta=90.00 gamma=101.41
Element x y z (fractional)
Ca 0.981 0.962 0.386
Ca 0.838 0.677 0.498
Ca 0.810 0.621 0.228
Ca 0.436 0.872 0.787
Ca 0.405 0.810 0.064
Ca 0.276 0.552 0.807
Ca 0.174 0.349 0.422
Ca 0.146 0.293 0.150
Ca 0.116 0.233 0.879
Ca 0.106 0.212 0.634
Cd 0.000 0.000 0.999
Cd 0.766 0.532 0.967
Cd 0.719 0.438 0.617
Cd 0.565 0.131 0.271
Cd 0.473 0.946 0.561
As 0.992 0.984 0.189
As 0.982 0.963 0.677
As 0.872 0.745 0.891
As 0.697 0.395 0.300
As 0.672 0.345 0.778
As 0.586 0.171 0.481
As 0.570 0.140 0.980
As 0.380 0.761 0.377
As 0.292 0.584 0.611
As 0.262 0.525 0.072

- formation energy (kJ/mol of atoms) = -103



(2)
A plane-wave DFT calculation with SCAN was carried out for CaCo at its PBEsol-relaxed geometry.

Unit cell a=3.206 b=3.206 c=8.115 alpha=90.00 beta=90.00 gamma=90.00
Element x y z (fractional)
Ca 0.500 0.000 0.704
Ca 0.000 0.500 0.296
Co 0.500 0.000 0.044
Co 0.000 0.500 0.956

- formation energy (kJ/mol of atoms) = 30



(3)
A plane-wave DFT calculation with SCAN was carried out for NiMoIr2 at its PBEsol-relaxed geometry.

Unit cell a=2.684 b=3.791 c=5.302 alpha=90.00 beta=90.00 gamma=90.00
Element x y z (fractional)
Ir 0.000 0.000 0.981
Ir 0.500 0.500 0.253
Mo 0.000 0.000 0.512
Ni 0.500 0.500 0.754

- formation energy (kJ/mol of atoms) = -14



(4)
A plane-wave DFT calculation with SCAN was carried out for TcBAu2F at its PBEsol-relaxed geometry.

Unit cell a=3.522 b=4.435 c=4.435 alpha=90.00 beta=90.00 gamma=90.00
Element x y z (fractional)
B 0.000 0.000 0.000
Au 0.000 0.000 0.500
Au 0.000 0.500 0.000
Tc 0.500 0.500 0.500
F 0.500 0.000 0.000

- raw formation energy (eV/atom) = 0.3175



| no. | spin magnetization (μB per atom) | energy (eV per atom) |
| --- | --- | --- |
| 1 | 0.00 | -19.0869 |
| 2 | 0.92 | -13.1778 |
| 3 | 0.16 | -48.4594 |
| 4 | 0.66 | -36.5512 |